PBE with a Hubbard U TaAlCrO6, relaxed; space-group type = P4_2nm; uncorrected energy = -149.61 eV for the cell shown
1.0
4.574 0.000 0.000
0.000 4.574 0.000
0.000 0.000 8.934
Ta Al Cr O
2 2 2 12
Cartesian
0.000 0.000 0.000
2.287 2.287 4.467
0.000 0.000 5.916
2.287 2.287 1.449
0.000 0.000 2.958
2.287 2.287 7.425
0.873 0.873 4.452
0.914 0.914 7.376
0.928 0.928 1.466
1.359 3.215 5.933
1.373 3.201 2.909
1.414 3.160 8.919
3.160 1.414 8.919
3.201 1.373 2.909
3.215 1.359 5.933
3.646 3.646 1.466
3.660 3.660 7.376
3.701 3.701 4.452